This record from Alexandria via LeMat-Bulk describes an optimized crystal structure of Pr2AgH. The functional is PBE-GGA.

Electronic total energy in eV per formula unit: -15.78

a = 3.421 Å, b = 3.421 Å, c = 7.544 Å
α = 90.00°, β = 90.00°, γ = 90.00°
Fractional coordinates of all 4 atoms:
Pr 0.000 0.000 0.220
Pr 0.000 0.000 0.780
Ag 0.500 0.500 0.500
H 0.500 0.500 0.000